Computed, not measured: crystalline BeAgIrAu at its relaxed geometry at the PBE level of DFT.

Cell lengths 4.9304, 2.8425, 8.5847 Å; angles 90.00, 101.15, 90.00 degrees
With the nearest neighbours (Å) after each atom.
Space group Cm (No. 8)
Inequivalent atoms, fractional coordinates:
Be 0.0000 0.0000 0.0000 (multiplicity 2)  3 Ir 2.29, 3 Au 2.49-2.50
Ag 0.3415 0.5000 0.5225 (multiplicity 2)  6 Ag 2.84-2.85, 3 Ir 2.93, 3 Au 3.01
Ir 0.2698 0.0000 0.8107 (multiplicity 2)  3 Be 2.29
Au 0.4083 0.0000 0.2229 (multiplicity 2)  3 Be 2.49-2.50

Properties
Energy of formation = -0.074 eV per atom
Energy relative to the lowest polymorph listed for this composition = 19 meV/atom
Uncorrected energy = -38.03 eV/cell